(1)
This record from Alexandria via LeMat-Bulk describes a geometry-optimized Sm2CuHgO5 structure. The functional is PBE-GGA.

POSCAR file:
```
Sm2CuHgO5
1.0
5.5156 0.0000 0.0000
0.0000 6.7997 0.0000
0.0000 0.0000 6.7997
Sm O Hg Cu
4 10 2 2
Direct
0.5000 0.8239 0.6761
0.5000 0.1761 0.3239
0.5000 0.3239 0.8239
0.5000 0.6761 0.1761
0.2500 0.8713 0.3713
0.7500 0.3713 0.1287
0.7500 0.1287 0.6287
0.7500 0.6287 0.8713
0.2500 0.3713 0.1287
0.5000 0.5000 0.5000
0.7500 0.8713 0.3713
0.5000 0.0000 0.0000
0.2500 0.1287 0.6287
0.2500 0.6287 0.8713
0.0000 0.5000 0.5000
0.0000 0.0000 0.0000
0.0000 0.0000 0.5000
0.0000 0.5000 0.0000
```

(2)
This record from Alexandria via LeMat-Bulk describes a geometry-optimized RbTeS structure. The functional is PBE-GGA.

POSCAR file:
```
RbTeS
1.0
5.2342 0.0000 0.0000
0.0000 4.8267 0.0000
0.0000 -2.4134 4.1801
Rb S Te
1 1 1
Direct
0.6831 0.6667 0.3333
0.1247 0.0000 0.0000
0.1922 0.3333 0.6667
```

Properties
**ΔE to the lowest computed polymorph**: 225.2 meV per atom

(3)
This record from Alexandria via LeMat-Bulk describes a geometry-optimized ReRhCl structure. The functional is PBE-GGA.

POSCAR file:
```
ReRhCl
1.0
4.1888 0.0000 0.0000
2.0944 3.6276 0.0000
2.0944 1.2092 3.4201
Rh Re Cl
1 1 1
Direct
0.0000 0.0000 0.0000
0.7500 0.7500 0.7500
0.5000 0.5000 0.5000
```

Properties
**ΔE to the lowest computed polymorph**: 536.2 meV per atom

(4)
This record from Alexandria via LeMat-Bulk describes a geometry-optimized Zn3In3PdRh2 structure. The functional is PBE-GGA.

POSCAR file:
```
Zn3In3PdRh2
1.0
-1.4243 2.5924 -0.9246
-6.2115 -4.0372 -1.7512
0.7940 2.9265 6.9823
In Zn Rh Pd
3 3 2 1
Direct
0.5000 0.0000 0.7058
0.5000 0.7058 0.0000
0.5000 0.2942 0.2942
0.0000 0.0000 0.3876
0.0000 0.6124 0.6124
0.0000 0.3876 0.0000
0.5000 0.3333 0.6667
0.5000 0.6667 0.3333
0.0000 0.0000 0.0000
```

Properties
**ΔE_f**: -1.97 eV per formula unit

(5)
This record from Alexandria via LeMat-Bulk describes a geometry-optimized KEuTlBi structure. The functional is PBE-GGA.

POSCAR file:
```
KEuTlBi
1.0
-2.4420 -3.7872 3.6839
-1.7115 -5.2255 -1.9085
2.9045 -4.7805 1.6089
Bi Eu K Tl
1 1 1 1
Direct
0.7500 0.7500 0.7500
0.5000 0.5000 0.5000
0.0000 0.0000 0.0000
0.2500 0.2500 0.2500
```

Properties
**ΔE_f**: -1.50 eV per formula unit

(6)
This record from Alexandria via LeMat-Bulk describes a geometry-optimized Li2MnSiRh structure. The functional is PBE-GGA.

POSCAR file:
```
Li2MnSiRh
1.0
4.3981 0.0000 0.0000
0.0000 4.5880 0.0000
0.0000 0.0000 4.3981
Li Mn Rh Si
2 1 1 1
Direct
0.0000 0.0000 0.5000
0.5000 0.0000 0.0000
0.0000 0.0000 0.0000
0.0000 0.5000 0.0000
0.5000 0.5000 0.5000
```

(7)
This record from Alexandria via LeMat-Bulk describes a geometry-optimized TcGe structure. The functional is PBE-GGA.

POSCAR file:
```
TcGe
1.0
-1.5053 2.6246 -4.0779
-1.6802 -4.2876 -2.1393
-4.5313 0.7123 2.1311
Ge Tc
4 4
Direct
0.7165 0.2835 0.0000
0.2835 0.7165 0.0000
0.2165 0.2165 0.5000
0.7835 0.7835 0.5000
0.7845 0.7845 0.0000
0.2155 0.2155 0.0000
0.2845 0.7155 0.5000
0.7155 0.2845 0.5000
```

Properties
**ΔE to the lowest computed polymorph**: 575.9 meV per atom
**ΔE_f**: 0.79 eV per formula unit

(8)
This record from Alexandria via LeMat-Bulk describes a geometry-optimized TbPrBi2 structure. The functional is PBE-GGA.

POSCAR file:
```
TbPrBi2
1.0
4.5340 0.0000 0.0000
2.2670 3.9265 0.0000
2.2670 1.3088 7.7671
Bi Tb Pr
2 1 1
Direct
0.2484 0.2484 0.2548
0.0849 0.0849 0.7454
0.4979 0.4979 0.5063
0.6689 0.6689 0.9934
```

Properties
**ΔE to the lowest computed polymorph**: 115.0 meV per atom
**ΔE_f**: -3.21 eV per formula unit

no.,VASP energy (eV per formula unit),spin magnetization (μB/f.u.),D(E_F) (states/eV/cell)
1,-56.13,0.0,5.69
2,-9.28,0.0,3.36
3,-19.15,0.0,2.48
4,-33.90,0.0,4.05
5,-19.12,7.4,3.44
6,-21.56,4.2,3.09
7,-14.19,0.9,7.77
8,-20.38,0.0,0.46